Computed, not measured: Be2ZnSeI after structural relaxation at the GGA-PBE level of DFT.

**Crystal system**: tetragonal
**E_form (uncorrected)**: 0.676 eV per atom

```
5
Lattice="4.280 0.000 0.000 0.000 4.280 0.000 0.000 0.000 8.388" Properties=species:S:1:pos:R:3 pbc="T T T"
Be 0.000 2.140 0.000
Be 2.140 0.000 0.000
Zn 0.000 0.000 4.194
Se 2.140 2.140 0.000
I 2.140 2.140 4.194
```